## ZrBe3B (GGA-PBE)

Data for a geometry-optimized ZrBe3B structure.

## Properties
E above lowest polymorph = 246.0 kJ per mole of atoms
Crystal system = cubic
Theoretical density = 1998 kg/m³
Total energy = -2.6297 eV per atom
M_tot = 0.0 μB per cell

a b c (Å): 4.7518 4.7518 4.7518
angles (deg): 90.00 90.00 90.00
Closest atoms and distances in Å follow each position.
Space group Pm-3m (No. 221)
Inequivalent atoms, fractional coordinates:
Zr  0.0000  0.0000  0.0000 x1  6 Be 2.38
Be  0.0000  0.0000  0.5000 x3  2 Zr 2.38
B  0.5000  0.5000  0.5000 x1  12 Be 3.36